1.
ZrMoPt: single point on PBEsol structure, meta-GGA SCAN.

Cell and atoms, written as POSCAR:
```
ZrMoPt
1.0
2.842 0.000 0.000
-1.421 2.461 0.000
0.000 0.000 7.242
Mo Pt Zr
1 1 1
Direct
0.000 0.000 0.983
0.333 0.667 0.676
0.667 0.333 0.341
```

Results
The density of states at the Fermi level is 1.196 states/eV/atom. The energy relative to the elements comes out at -0.03 eV/atom. The volume comes out at 50.7 Å³ per cell. As for the space group: No. 156. Its crystal system is trigonal.


2.
CoI2OF: single point on PBEsol structure, meta-GGA SCAN.

Cell and atoms, written as POSCAR:
```
CoI2OF
1.0
-2.055 0.784 -2.514
3.610 -1.674 -3.474
-2.075 -4.854 0.183
I Co O F
2 1 1 1
Direct
0.000 0.000 0.500
0.000 0.500 0.000
0.000 0.000 0.000
0.500 0.000 0.000
0.500 0.500 0.500
```

Results
The density of states at the Fermi level is 0.767 states/eV/atom. As for the formation energy without anion corrections: -0.21 eV/atom. The volume comes out at 93.2 Å³ per cell. As for the space group: No. 123. Its crystal system is tetragonal.


3.
CaEu2O3: single point on PBEsol structure, meta-GGA SCAN.

Cell and atoms, written as POSCAR:
```
CaEu2O3
1.0
-3.731 1.598 -4.445
-3.381 -4.742 -1.588
-1.910 3.759 4.315
Ca Eu O
2 4 6
Direct
0.250 0.918 0.835
0.750 0.082 0.165
0.250 0.250 0.500
0.250 0.583 0.166
0.750 0.750 0.500
0.750 0.417 0.834
0.999 0.678 0.838
0.499 0.839 0.162
0.500 0.500 0.500
0.501 0.161 0.838
0.000 0.000 0.500
0.001 0.322 0.162
```

Results
The distance to the lowest polymorph of the same formula is 0.000 eV/atom. The density of states at the Fermi level is 1.227 states/eV/atom. As for the formation energy without anion corrections: -3.08 eV/atom. The volume comes out at 179.0 Å³ per cell. As for the space group: No. 15. Its crystal system is monoclinic.


4.
InNi4Ag: single point on PBEsol structure, meta-GGA SCAN.

Cell and atoms, written as POSCAR:
```
InNi4Ag
1.0
-3.434 -2.953 1.519
0.584 -4.727 -0.359
0.676 -2.628 3.931
Ag In Ni
1 1 4
Direct
0.750 0.750 0.750
0.000 0.000 0.000
0.375 0.375 0.375
0.375 0.375 0.875
0.875 0.375 0.375
0.375 0.875 0.375
```

Results
The density of states at the Fermi level is 0.792 states/eV/atom. The energy relative to the elements comes out at 0.08 eV/atom. The volume comes out at 77.1 Å³ per cell. As for the space group: No. 216. Its crystal system is cubic.